This record from Alexandria describes an optimized crystal structure of MgMnCo2. The functional is PBE.

Computed properties:
The calculation puts the density of states at the Fermi level at 1.6 states/eV per cell. The magnetization comes out at 6.74 μB/cell. Its energy of formation from the pure elements is 0.133 eV/atom. Its density is 5.978 g/cm3. The value obtained for the total energy is -6.1110 eV/atom. The space-group type is P4mm (99).

Geometry as POSCAR:
```
MgMnCo2
1.0
-2.8470 0.7391 0.5245
-0.6386 -0.4089 -2.8899
-1.3203 -5.8835 1.1242
Co Mg Mn
2 1 1
Cartesian
-0.0174 -0.0776 0.0148 Co
-2.0239 -1.0876 -0.9434 Co
-0.6343 -2.8267 0.5401 Mg
-2.7904 -4.5032 -0.2907 Mn
```